Entry 1:
GGA-PBE PmSmMo, relaxed; magnetization = 1.461 μB per formula unit; energy of formation = 1.243 eV per atom
1.0
6.998 0.000 0.000
0.000 6.998 0.000
0.000 0.000 6.998
Pm Sm Mo
4 4 4
Cartesian
0.000 0.000 0.000
0.000 3.499 3.499
3.499 0.000 3.499
3.499 3.499 0.000
1.749 1.749 5.248
1.749 5.248 1.749
5.248 1.749 1.749
5.248 5.248 5.248
0.000 0.000 3.499
0.000 3.499 0.000
3.499 0.000 0.000
3.499 3.499 3.499

---

Entry 2:
GGA-PBE PmSnMo, relaxed; magnetization = 0.882 μB per formula unit; final energy = -6.08 eV per atom
1.0
6.782 0.000 0.000
0.000 6.782 0.000
0.000 0.000 6.782
Pm Sn Mo
4 4 4
Cartesian
0.000 0.000 0.000
0.000 3.391 3.391
3.391 0.000 3.391
3.391 3.391 0.000
0.000 0.000 3.391
0.000 3.391 0.000
3.391 0.000 0.000
3.391 3.391 3.391
1.695 1.695 1.695
1.695 5.086 5.086
5.086 1.695 5.086
5.086 5.086 1.695

---

Entry 3:
GGA-PBE PmTeMo, relaxed; magnetization = 1.152 μB per formula unit; final energy = -6.02 eV per atom
1.0
6.722 0.000 0.000
0.000 6.722 0.000
0.000 0.000 6.722
Pm Te Mo
4 4 4
Cartesian
0.000 0.000 0.000
0.000 3.361 3.361
3.361 0.000 3.361
3.361 3.361 0.000
0.000 0.000 3.361
0.000 3.361 0.000
3.361 0.000 0.000
3.361 3.361 3.361
1.680 1.680 1.680
1.680 5.041 5.041
5.041 1.680 5.041
5.041 5.041 1.680

---

Entry 4:
GGA-PBE PmTeMo, relaxed; magnetization = 4.278 μB per formula unit; final energy = -5.43 eV per atom
1.0
7.248 0.000 0.000
0.000 7.248 0.000
0.000 0.000 7.248
Pm Te Mo
4 4 4
Cartesian
0.000 0.000 0.000
0.000 3.624 3.624
3.624 0.000 3.624
3.624 3.624 0.000
1.812 1.812 1.812
1.812 5.436 5.436
5.436 1.812 5.436
5.436 5.436 1.812
1.812 1.812 5.436
1.812 5.436 1.812
5.436 1.812 1.812
5.436 5.436 5.436

---

Entry 5:
GGA-PBE PmTlMo, relaxed; magnetization = 1.468 μB per formula unit; final energy = -5.14 eV per atom
1.0
6.900 0.000 0.000
0.000 6.900 0.000
0.000 0.000 6.900
Pm Tl Mo
4 4 4
Cartesian
0.000 0.000 0.000
0.000 3.450 3.450
3.450 0.000 3.450
3.450 3.450 0.000
1.725 1.725 5.175
1.725 5.175 1.725
5.175 1.725 1.725
5.175 5.175 5.175
0.000 0.000 3.450
0.000 3.450 0.000
3.450 0.000 0.000
3.450 3.450 3.450

---

Entry 6:
GGA-PBE PmTlMo, relaxed; magnetization = 3.561 μB per formula unit; final energy = -4.81 eV per atom
1.0
7.126 0.000 0.000
0.000 7.126 0.000
0.000 0.000 7.126
Pm Tl Mo
4 4 4
Cartesian
0.000 0.000 0.000
0.000 3.563 3.563
3.563 0.000 3.563
3.563 3.563 0.000
1.782 1.782 1.782
1.782 5.345 5.345
5.345 1.782 5.345
5.345 5.345 1.782
1.782 1.782 5.345
1.782 5.345 1.782
5.345 1.782 1.782
5.345 5.345 5.345